First-principles (PBE-GGA) data for a geometry-optimized MnSbOs2 structure, as listed in Alexandria via LeMat-Bulk.

The structure belongs to space group R3m (No. 160, hexagonal axes); the cell edges are 2.9006, 2.9006 and 25.7759 Å and the angles 90.00°, 90.00° and 120.00°. The distinct sites, in fractional coordinates, are Mn at (0.0000, 0.0000, 0.0000), Sb at (0.0000, 0.0000, 0.7499), Os at (0.0000, 0.0000, 0.2531) and Os at (0.0000, 0.0000, 0.5055).

The calculation puts the magnetic moment at 0.5720 μB/atom. The value obtained for the volume is 15.650 Å³ per atom. For the total energy, the calculation gives -100.57 eV for the cell shown. The calculation puts the energy relative to the elements, uncorrected at 0.557 eV/atom.